This record from the Alexandria database describes crystalline La6TbIn2 at its relaxed geometry. The functional is PBE.

Total moment, μB per atom: 0.0000
Space group: P-62m (189)
VASP energy, eV per cell: -41.1
E_form, eV per atom: -0.158

Cell: 5.089 8.394 8.394 Å, 120.00 90.00 90.00°
Positions (direct):
1 La 0.500 0.569 0.000
2 La 0.500 0.431 0.431
3 La 0.500 0.000 0.569
4 La 0.000 0.248 0.000
5 La 0.000 0.752 0.752
6 La 0.000 0.000 0.248
7 Tb 0.500 0.000 0.000
8 In 0.000 0.333 0.667
9 In 0.000 0.667 0.333